1.
Compound: Y2AlIr
Source: Alexandria via LeMat-Bulk
Functional: PBE
Structure: optimized geometry

For the formation energy, the calculation gives -0.62 eV per atom.

The space group is P4/mmm (No. 123) and the conventional cell measures 3.5567, 3.5567 and 6.9298 Å, with angles of 90.00, 90.00 and 90.00 degrees. The asymmetric unit holds Y at (0.0000, 0.0000, 0.2322), Al at (0.5000, 0.5000, 0.5000) and Ir at (0.5000, 0.5000, 0.0000).

2.
Compound: KRuRh2
Source: Alexandria via LeMat-Bulk
Functional: PBE
Structure: optimized geometry

For the formation energy, the calculation gives 0.55 eV per atom. The relative energy among the computed polymorphs is 117 meV/atom.

The space group is R-3m (No. 166, hexagonal axes) and the conventional cell measures 2.8193, 2.8193 and 29.6053 Å, with angles of 90.00, 90.00 and 120.00 degrees. The asymmetric unit holds K at (0.0000, 0.0000, 0.0000), Ru at (0.0000, 0.0000, 0.5000) and Rh at (0.0000, 0.0000, 0.2373).

3.
Compound: Sc5CdCo4
Source: Alexandria via LeMat-Bulk
Functional: PBE
Structure: optimized geometry

For the formation energy, the calculation gives -0.35 eV per atom.

The space group is P4/mmm (No. 123) and the conventional cell measures 3.1504, 3.1504 and 16.7355 Å, with angles of 90.00, 90.00 and 90.00 degrees. The asymmetric unit holds Sc at (0.0000, 0.0000, 0.0000), Sc at (0.0000, 0.0000, 0.1848), Sc at (0.0000, 0.0000, 0.3690), Cd at (0.5000, 0.5000, 0.5000), Co at (0.5000, 0.5000, 0.0926) and Co at (0.5000, 0.5000, 0.2806).

4.
Compound: K2SrTa
Source: Alexandria via LeMat-Bulk
Functional: PBE
Structure: optimized geometry

For the formation energy, the calculation gives 1.21 eV per atom. The relative energy among the computed polymorphs is 259 meV/atom.

The space group is Cmmm (No. 65) and the conventional cell measures 3.7347, 5.6800 and 14.0075 Å, with angles of 90.00, 90.00 and 90.00 degrees. The asymmetric unit holds K at (0.0000, 0.0000, 0.2189), Sr at (0.0000, 0.5000, 0.5000) and Ta at (0.0000, 0.5000, 0.0000).

Among the records above, which one has the highest formation energy?
K2SrTa

Which of these has the lowest formation energy?
Y2AlIr

Among the records above, which one has the lowest formation energy?
Y2AlIr

formation energy of number 4 (K2SrTa)?
1.21 eV per atom